# 1
Compound: NaSb2Pd6
Source: Alexandria
Functional: PBE
Structure: relaxed

Output
For the total energy, the calculation gives -42.904 eV for the cell shown. The calculation puts the uncorrected formation energy at -0.24 eV per atom.

abc: 4.510 4.510 8.808
angles: 90.00 90.00 90.00
Space group P4/mmm (No. 123)
Unique sites:
Na: 0.000 0.000 0.000 (multiplicity 1)
Sb: 0.500 0.500 0.168 (multiplicity 2)
Pd: 0.000 0.000 0.500 (multiplicity 1)
Pd: 0.000 0.500 0.314 (multiplicity 4)
Pd: 0.500 0.500 0.500 (multiplicity 1)

# 2
Compound: NaSbPd
Source: Alexandria
Functional: PBE
Structure: relaxed

Output
For the total energy, the calculation gives -23.590 eV for the cell shown. The calculation puts the uncorrected formation energy at -0.39 eV per atom.

abc: 3.627 3.627 10.671
angles: 90.00 90.00 90.00
Space group I4mm (No. 107)
Unique sites:
Na: 0.000 0.000 0.000 (multiplicity 2)
Sb: 0.000 0.000 0.706 (multiplicity 2)
Pd: 0.000 0.000 0.294 (multiplicity 2)

# 3
Compound: Na2SbPd6
Source: Alexandria
Functional: PBE
Structure: relaxed

Output
For the total energy, the calculation gives -38.730 eV for the cell shown. The calculation puts the uncorrected formation energy at -0.09 eV per atom.

abc: 7.9103 7.9103 2.8695
angles: 90.00 90.00 120.00
Space group P-31m (No. 162)
Unique sites:
Na: 0.3333 0.6667 0.0000 (multiplicity 2)
Sb: 0.0000 0.0000 0.5000 (multiplicity 1)
Pd: 0.0000 0.3306 0.7213 (multiplicity 6)

# 4
Compound: NaSb2Pd
Source: Alexandria
Functional: PBE
Structure: relaxed

Output
For the total energy, the calculation gives -48.628 eV for the cell shown. The calculation puts the uncorrected formation energy at -0.36 eV per atom.

abc: 4.2720 4.2720 20.1472
angles: 90.00 90.00 120.00
Space group R3m (No. 160, hexagonal axes)
Unique sites:
Na: 0.0000 0.0000 0.0000 (multiplicity 3)
Sb: 0.0000 0.0000 0.2241 (multiplicity 3)
Sb: 0.0000 0.0000 0.4428 (multiplicity 3)
Pd: 0.0000 0.0000 0.8337 (multiplicity 3)

# 5
Compound: NaSbPd2
Source: Alexandria
Functional: PBE
Structure: relaxed

Output
For the total energy, the calculation gives -17.229 eV for the cell shown. The calculation puts the uncorrected formation energy at -0.35 eV per atom.

abc: 4.646 4.646 3.360
angles: 90.00 90.00 90.00
Space group P4/mmm (No. 123)
Unique sites:
Na: 0.000 0.000 0.000 (multiplicity 1)
Sb: 0.500 0.500 0.000 (multiplicity 1)
Pd: 0.000 0.500 0.500 (multiplicity 2)

# 6
Compound: Na2Sb2Pd3
Source: Alexandria
Functional: PBE
Structure: relaxed

Output
For the total energy, the calculation gives -58.790 eV for the cell shown. The calculation puts the uncorrected formation energy at -0.42 eV per atom.

abc: 11.423 4.168 7.295
angles: 90.00 113.38 90.00
Space group C2/m (No. 12)
Unique sites:
Na: 0.109 0.000 0.234 (multiplicity 4)
Sb: 0.155 0.000 0.703 (multiplicity 4)
Pd: 0.000 0.500 0.500 (multiplicity 2)
Pd: 0.157 0.500 0.922 (multiplicity 4)